First-principles (PBE with a Hubbard U) data for BaNa2VO4 after structural relaxation, as listed in Alexandria.

Results
* uncorrected energy: -6.05 eV per atom
* magnetization: 1.0 μB/cell

Cell lengths 5.892, 5.892, 5.494 Å; angles 122.15, 122.15, 90.44 degrees
Site moments in Bohr magnetons follow the coordinates.
Positions (direct):
Ba1 0.002 0.002 0.003  0.01
Na1 0.752 0.252 0.504  0.00
Na2 0.252 0.752 0.504  0.00
V1 0.500 0.500 0.000  0.96
O1 0.552 0.552 0.729  -0.01
O2 0.445 0.820 0.266  -0.01
O3 0.820 0.445 0.266  -0.01
O4 0.177 0.177 0.729  -0.01